a.
First-principles (PBE-GGA) data for an optimized crystal structure of Ba2LiAg2, as listed in the Alexandria database.

Size of the total moment in μB/atom: 0.0000
Crystal system: monoclinic
DOS at the Fermi energy in states/eV per cell: 12.02
Calculated volume in Å³/f.u.: 164.8

Cell and atoms, written as CIF:
```
data_Ba2LiAg2
_chemical_formula_sum 'Ba8 Li4 Ag8'
_space_group_name_H-M_alt 'C 1 2/m 1'
_space_group_IT_number 12
_cell_length_a 12.6545
_cell_length_b 4.8139
_cell_length_c 12.3325
_cell_angle_alpha 90.00
_cell_angle_beta 118.67
_cell_angle_gamma 90.00
loop_
_space_group_symop_operation_xyz
'x,y,z'
'-x,-y,-z'
'-x,y,-z'
'x,-y,z'
'x+1/2,y+1/2,z'
'-x+1/2,-y+1/2,-z'
'-x+1/2,y+1/2,-z'
'x+1/2,-y+1/2,z'
loop_
_atom_site_label
_atom_site_type_symbol
_atom_site_fract_x
_atom_site_fract_y
_atom_site_fract_z
Ba1 Ba 0.0054 0.0000 0.3328
Ba2 Ba 0.1879 0.0000 0.1108
Li1 Li 0.2257 0.5000 0.3796
Ag1 Ag 0.0100 0.5000 0.8841
Ag2 Ag 0.1396 0.5000 0.5638
```

***

b.
First-principles (PBE-GGA) data for an optimized crystal structure of Ba2LiAg2, as listed in the Alexandria database.

Size of the total moment in μB/atom: 0.0000
Crystal system: tetragonal
DOS at the Fermi energy in states/eV per cell: 13.38
Calculated volume in Å³/f.u.: 182.1

Cell and atoms, written as CIF:
```
data_Ba2LiAg2
_chemical_formula_sum 'Ba4 Li2 Ag4'
_space_group_name_H-M_alt 'P 4/m b m'
_space_group_IT_number 127
_space_group_name_Hall '-P 4 2ab'
_cell_length_a 9.5117
_cell_length_b 9.5117
_cell_length_c 4.0245
_cell_angle_alpha 90.00
_cell_angle_beta 90.00
_cell_angle_gamma 90.00
loop_
_atom_site_label
_atom_site_type_symbol
_atom_site_fract_x
_atom_site_fract_y
_atom_site_fract_z
Ba1 Ba 0.1696 0.3304 0.0000
Li1 Li 0.0000 0.0000 0.0000
Ag1 Ag 0.1173 0.6173 0.5000
```

***

c.
First-principles (PBE-GGA) data for an optimized crystal structure of Ba2LiAg2, as listed in the Alexandria database.

Size of the total moment in μB/atom: 0.0000
Crystal system: tetragonal
DOS at the Fermi energy in states/eV per cell: 6.73
Calculated volume in Å³/f.u.: 174.8

Cell and atoms, written as CIF:
```
data_Ba2LiAg2
_chemical_formula_sum 'Ba4 Li2 Ag4'
_space_group_name_H-M_alt 'P 4/m b m'
_space_group_IT_number 127
_space_group_name_Hall '-P 4 2ab'
_cell_length_a 8.6195
_cell_length_b 8.6195
_cell_length_c 4.7052
_cell_angle_alpha 90.00
_cell_angle_beta 90.00
_cell_angle_gamma 90.00
loop_
_atom_site_label
_atom_site_type_symbol
_atom_site_fract_x
_atom_site_fract_y
_atom_site_fract_z
Ba1 Ba 0.1755 0.3245 0.0000
Li1 Li 0.0000 0.0000 0.5000
Ag1 Ag 0.1207 0.6207 0.5000
```

***

Which is most stable, and by how much? a, by 2.5 kJ/mol of atoms.